A | VASP calculation (PBE) on a geometry-optimized Ba2H4Pd structure.

Values from the calculation:
* DOS(E_F): 0.339 states/eV/atom
* total moment: 0.0 μB/f.u.
* space-group type: I4/mmm (139)

a = 3.8480 Å, b = 3.8480 Å, c = 8.2763 Å
α = 76.56°, β = 76.56°, γ = 90.00°
Fractional positions:
H  0.1886  0.1886  0.6229
H  0.8114  0.8114  0.3771
H  0.0000  0.5000  0.0000
H  0.5000  0.0000  0.0000
Ba  0.3646  0.3646  0.2709
Ba  0.6354  0.6354  0.7291
Pd  0.0000  0.0000  0.0000



B | VASP calculation (PBE) on a geometry-optimized Ba2H4Pd structure.

Values from the calculation:
* total moment: 0.0 μB/f.u.
* space-group type: Pnma (62)

a = 5.7829 Å, b = 8.0805 Å, c = 10.2154 Å
α = 90.00°, β = 90.00°, γ = 90.00°
Fractional positions:
Pd  0.2500  0.2584  0.4179
Pd  0.7500  0.2416  0.9179
Pd  0.7500  0.7416  0.5821
Pd  0.2500  0.7584  0.0821
H  0.7500  0.5227  0.6106
H  0.0082  0.8197  0.6559
H  0.4918  0.8197  0.6559
H  0.7500  0.8283  0.4195
H  0.7500  0.0227  0.8894
H  0.2500  0.9773  0.1106
H  0.4918  0.3197  0.8441
H  0.7500  0.3283  0.0805
H  0.0082  0.3197  0.8441
H  0.5082  0.1803  0.3441
H  0.9918  0.6803  0.1559
H  0.2500  0.4773  0.3894
H  0.5082  0.6803  0.1559
H  0.2500  0.6717  0.9195
H  0.2500  0.1717  0.5805
H  0.9918  0.1803  0.3441
Ba  0.2500  0.5113  0.6674
Ba  0.7500  0.4887  0.3326
Ba  0.7500  0.9887  0.1674
Ba  0.7500  0.6470  0.9047
Ba  0.2500  0.0113  0.8326
Ba  0.2500  0.8530  0.4047
Ba  0.7500  0.1470  0.5953
Ba  0.2500  0.3530  0.0953



Which of them is the least stable? Correct choice: A.



A | VASP calculation (PBE) on a geometry-optimized Ba4HPd structure.

Values from the calculation:
* DOS(E_F): 0.678 states/eV/atom
* total moment: 0.0 μB/f.u.
* space-group type: C2/m (12)

a = 4.5087 Å, b = 8.6446 Å, c = 7.7292 Å
α = 116.25°, β = 90.00°, γ = 105.12°
Fractional positions:
Ba  0.3861  0.7722  0.0475
Ba  0.6139  0.2278  0.9525
Ba  0.1193  0.2386  0.4476
Ba  0.8807  0.7614  0.5524
Pd  0.5000  0.0000  0.5000
H  0.0000  0.0000  0.0000



B | VASP calculation (PBE) on a geometry-optimized Ba4HPd structure.

Values from the calculation:
* DOS(E_F): 0.719 states/eV/atom
* total moment: 0.0 μB/f.u.
* space-group type: Cmcm (63)

a = 7.6134 Å, b = 7.6134 Å, c = 9.3917 Å
α = 90.00°, β = 90.00°, γ = 91.63°
Fractional positions:
Ba  0.1903  0.2120  0.7500
Ba  0.7012  0.2988  0.9848
Ba  0.2120  0.1903  0.2500
Ba  0.8097  0.7880  0.2500
Ba  0.7880  0.8097  0.7500
Ba  0.2988  0.7012  0.4848
Ba  0.2988  0.7012  0.0152
Ba  0.7012  0.2988  0.5152
H  0.1537  0.8463  0.2500
H  0.8463  0.1537  0.7500
Pd  0.4890  0.5110  0.7500
Pd  0.5110  0.4890  0.2500



Which of them is the least stable? Correct choice: A.



A | VASP calculation (PBE) on a geometry-optimized Ba2H5Pd2 structure.

Values from the calculation:
* DOS(E_F): 0.348 states/eV/atom
* total moment: 0.0 μB/f.u.
* space-group type: P4/mmm (123)

a = 3.8751 Å, b = 3.8751 Å, c = 8.5078 Å
α = 90.00°, β = 90.00°, γ = 90.00°
Fractional positions:
Pd  0.5000  0.5000  0.2596
Pd  0.5000  0.5000  0.7404
H  0.5000  0.5000  0.5000
H  0.0000  0.5000  0.2477
H  0.5000  0.0000  0.7523
H  0.0000  0.5000  0.7523
H  0.5000  0.0000  0.2477
Ba  0.0000  0.0000  0.0000
Ba  0.0000  0.0000  0.5000



B | VASP calculation (PBE) on a geometry-optimized Ba2H5Pd2 structure.

Values from the calculation:
* DOS(E_F): 0.079 states/eV/atom
* total moment: 0.0 μB/f.u.
* space-group type: C2/m (12)

a = 3.9489 Å, b = 5.6639 Å, c = 6.5421 Å
α = 99.20°, β = 90.00°, γ = 110.40°
Fractional positions:
H  0.6972  0.3943  0.8996
H  0.1069  0.2137  0.6188
H  0.3028  0.6057  0.1004
H  0.8931  0.7863  0.3812
H  0.0000  0.0000  0.0000
Ba  0.4091  0.8181  0.7021
Ba  0.5909  0.1819  0.2979
Pd  0.8398  0.6797  0.1100
Pd  0.1602  0.3203  0.8900



Which of them is the least stable? Correct choice: B.



A | VASP calculation (PBE) on a geometry-optimized Ba2H2Pd structure.

Values from the calculation:
* DOS(E_F): 0.003 states/eV/atom
* total moment: 0.0 μB/f.u.
* space-group type: P4/mbm (127)

a = 7.7276 Å, b = 7.7276 Å, c = 3.5677 Å
α = 90.00°, β = 90.00°, γ = 90.00°
Fractional positions:
H  0.8818  0.6182  0.0000
H  0.6182  0.1182  0.0000
H  0.1182  0.3818  0.0000
H  0.3818  0.8818  0.0000
Pd  0.5000  0.5000  0.0000
Pd  0.0000  0.0000  0.0000
Ba  0.6802  0.8198  0.5000
Ba  0.3198  0.1802  0.5000
Ba  0.1802  0.6802  0.5000
Ba  0.8198  0.3198  0.5000



B | VASP calculation (PBE) on a geometry-optimized Ba2H2Pd structure.

Values from the calculation:
* DOS(E_F): 0.000 states/eV/atom
* total moment: 0.0 μB/f.u.
* space-group type: I4/mmm (139)

a = 4.1532 Å, b = 4.1532 Å, c = 7.6555 Å
α = 74.26°, β = 74.26°, γ = 90.00°
Fractional positions:
Ba  0.6361  0.6361  0.7277
Ba  0.3639  0.3639  0.2723
H  0.7500  0.2500  0.5000
H  0.2500  0.7500  0.5000
Pd  0.0000  0.0000  0.0000



C | VASP calculation (PBE) on a geometry-optimized Ba2H2Pd structure.

Values from the calculation:
* DOS(E_F): 0.477 states/eV/atom
* total moment: 0.0 μB/f.u.
* space-group type: I4/mmm (139)

a = 5.6432 Å, b = 5.6432 Å, c = 5.6758 Å
α = 119.81°, β = 119.81°, γ = 90.00°
Fractional positions:
H  0.7904  0.7904  0.5809
H  0.2096  0.2096  0.4191
Ba  0.2500  0.7500  0.5000
Ba  0.7500  0.2500  0.5000
Pd  0.0000  0.0000  0.0000



Which of them is the least stable? Correct choice: A.



A | VASP calculation (PBE) on a geometry-optimized Ba2HPdPt structure.

Values from the calculation:
* DOS(E_F): 0.339 states/eV/atom
* total moment: 0.0 μB/f.u.
* space-group type: P2_1/m (11)

a = 4.4918 Å, b = 6.9049 Å, c = 8.9314 Å
α = 109.39°, β = 90.00°, γ = 90.00°
Fractional positions:
H  0.2500  0.8398  0.8353
H  0.7500  0.1602  0.1647
Ba  0.2500  0.2470  0.9525
Ba  0.7500  0.7901  0.5830
Ba  0.7500  0.7530  0.0475
Ba  0.2500  0.2099  0.4170
Pd  0.2500  0.5810  0.7643
Pd  0.7500  0.4190  0.2357
Pt  0.2500  0.6712  0.2904
Pt  0.7500  0.3288  0.7096



B | VASP calculation (PBE) on a geometry-optimized Ba2HPdPt structure.

Values from the calculation:
* DOS(E_F): 0.085 states/eV/atom
* total moment: 0.0 μB/f.u.
* space-group type: P4/mmm (123)

a = 5.5874 Å, b = 5.5874 Å, c = 3.8118 Å
α = 90.00°, β = 90.00°, γ = 90.00°
Fractional positions:
Pt  0.5000  0.5000  0.5000
Pd  0.0000  0.0000  0.5000
Ba  0.0000  0.5000  0.0000
Ba  0.5000  0.0000  0.0000
H  0.0000  0.0000  0.0000



Which of them is the least stable? Correct choice: B.